[1]
DFT (meta-GGA SCAN) results for a crystal of CaPt2Br relaxed with PBEsol.

Computed properties:
- Energy: -42.78 eV/atom
- Mass density: 11.3 g cm⁻³
- Energy above the most stable polymorph in this dataset: 88 meV per atom
- Fermi-level density of states: 1.672 states/eV per cell
- Formation energy (no corrections): -0.403 eV/atom

```
CaPt2Br
1.0
-3.0486 0.8819 -0.6262
-1.4817 -3.4286 2.5404
2.2980 4.3300 3.1874
Ca Pt Br
1 2 1
Cartesian
-0.7409 -1.7143 1.2702
1.1490 2.1650 1.5937
-1.1162 0.8917 2.5508
-1.5243 0.4409 -0.3131
```

[2]
DFT (meta-GGA SCAN) results for a crystal of InGa2Ir2 relaxed with PBEsol.

Computed properties:
- Energy: -42.00 eV/atom
- E_form: -0.3446 eV per atom
- Mass density: 13.0 g cm⁻³
- Energy above the most stable polymorph in this dataset: 0 meV per atom
- Fermi-level density of states: 1.014 states/eV per cell

```
InGa2Ir2
1.0
-3.2513 1.0418 1.2330
-0.9236 -3.4746 0.5004
4.3503 1.4464 4.9061
Ga Ir In
2 2 1
Cartesian
-0.4942 0.6359 3.5029
0.6697 -1.6223 3.1366
-1.6010 -1.1670 2.1076
1.7765 0.1805 4.5319
0.0000 0.0000 0.0000
```

[3]
DFT (meta-GGA SCAN) results for a crystal of OsPbCl2 relaxed with PBEsol.

Computed properties:
- Energy: -40.19 eV/atom
- Mass density: 9.5 g cm⁻³
- Energy above the most stable polymorph in this dataset: 334 meV per atom
- Fermi-level density of states: 1.107 states/eV per cell
- Formation energy (no corrections): 0.715 eV/atom

```
OsPbCl2
1.0
3.1017 0.0000 0.0000
0.0000 3.1023 0.0000
0.0000 0.0000 8.5241
Cl Os Pb
2 1 1
Cartesian
0.0000 0.0000 6.8731
0.0000 0.0000 1.6509
1.5509 1.5511 0.0000
1.5509 1.5511 4.2620
```

[4]
DFT (meta-GGA SCAN) results for a crystal of AgSb2TePt relaxed with PBEsol.

Computed properties:
- Energy: -42.18 eV/atom
- Mass density: 7.8 g cm⁻³
- Energy above the most stable polymorph in this dataset: 0 meV per atom
- Fermi-level density of states: 3.423 states/eV per cell
- Formation energy (no corrections): 0.491 eV/atom

```
AgSb2TePt
1.0
-0.7464 -0.0119 -5.0762
4.2591 -2.7929 -0.6197
-2.9260 -4.5598 0.4409
Sb Te Pt Ag
2 1 1 1
Cartesian
-0.3732 -0.0059 -2.5381
2.1296 -1.3965 -0.3098
-1.4630 -2.2799 0.2204
0.0000 0.0000 0.0000
0.2934 -3.6823 -2.6275
```

[5]
DFT (meta-GGA SCAN) results for a crystal of Ca2Zn2F relaxed with PBEsol.

Computed properties:
- Energy: -10.80 eV/atom
- Mass density: 3.6 g cm⁻³
- Fermi-level density of states: 2.431 states/eV per cell
- Formation energy (no corrections): -0.817 eV/atom

```
Ca2Zn2F
1.0
3.5576 0.0000 0.0000
0.0000 3.5576 0.0000
-1.7788 -1.7788 8.4424
Zn F Ca
2 1 2
Cartesian
1.7788 0.0000 4.2212
0.0000 1.7788 4.2212
0.0000 0.0000 0.0000
0.0000 0.0000 6.7289
1.7788 1.7788 1.7134
```

[6]
DFT (meta-GGA SCAN) results for a crystal of ReAgHg2 relaxed with PBEsol.

Computed properties:
- Energy: -59.09 eV/atom
- E_form: 0.6120 eV per atom
- Mass density: 16.6 g cm⁻³
- Energy above the most stable polymorph in this dataset: 38 meV per atom
- Fermi-level density of states: 0.309 states/eV per cell

```
ReAgHg2
1.0
-0.1146 -1.2531 -2.5460
-4.5361 -1.9516 1.1648
-0.7904 4.5106 -2.1845
Hg Re Ag
2 1 1
Cartesian
-0.3952 2.2553 -1.0922
-2.2681 -0.9758 0.5824
-0.0573 -0.6266 -1.2730
-2.7206 0.6529 -1.7829
```

[7]
DFT (meta-GGA SCAN) results for a crystal of BAsO2F relaxed with PBEsol.

Computed properties:
- Energy: -8.75 eV/atom
- Mass density: 3.9 g cm⁻³
- Fermi-level density of states: 0.408 states/eV per cell
- Formation energy (no corrections): -0.029 eV/atom

```
BAsO2F
1.0
-2.5224 0.5292 2.7838
2.6124 -1.0096 2.5589
1.1685 3.8513 0.3266
As B O F
1 1 2 1
Cartesian
0.0000 0.0000 0.0000
0.6292 1.6854 2.8347
1.3062 -0.5048 1.2795
-1.2612 0.2646 1.3919
0.5842 1.9256 0.1633
```

[8]
DFT (meta-GGA SCAN) results for a crystal of CaFeAs2Se relaxed with PBEsol.

Computed properties:
- Energy: -17.98 eV/atom
- Mass density: 5.2 g cm⁻³
- Fermi-level density of states: 1.650 states/eV per cell
- Formation energy (no corrections): -0.327 eV/atom

```
CaFeAs2Se
1.0
4.3779 0.0000 0.0000
0.0000 4.3779 0.0000
0.0000 0.0000 5.4572
Fe As Se Ca
1 2 1 1
Cartesian
0.0000 0.0000 0.0000
0.0000 2.1889 0.0000
2.1889 0.0000 0.0000
0.0000 0.0000 2.7286
2.1889 2.1889 2.7286
```